[1]
First-principles (GGA-PBE) data for ZnReSe2 after structural relaxation, as listed in Alexandria via LeMat-Bulk.

Properties
Formation energy without anion corrections (eV/atom): 0.587
Total DFT energy (no corrections) (eV for the cell shown): -18.3
Spin magnetization (μB per cell): 0.0
DOS at the Fermi energy (states/eV per cell): 4.62
ρ (g/cm3): 10.193
V (Å³/cell): 67
Symmetry: Pmmm, No. 47
Energy above the most stable polymorph in this dataset (meV per atom): 510

The structure in POSCAR format:
```
ZnReSe2
1.0
3.158 0.000 0.000
0.000 4.391 0.000
0.000 0.000 4.811
Zn Re Se
1 1 2
Cartesian
0.000 0.000 0.000
0.000 2.195 2.405
1.579 0.000 2.405
1.579 2.195 0.000
```

[2]
First-principles (GGA-PBE) data for Sc2Be2Cr after structural relaxation, as listed in Alexandria via LeMat-Bulk.

Properties
Total DFT energy (no corrections) (eV for the cell shown): -27.6
Spin magnetization (μB per cell): 0.0
DOS at the Fermi energy (states/eV per cell): 8.35
ρ (g/cm3): 3.468
ΔH_f (0 K) (eV/atom): 0.420
V (Å³/cell): 77
Symmetry: I4/mmm, No. 139
Energy above the most stable polymorph in this dataset (meV per atom): 278

The structure in POSCAR format:
```
Sc2Be2Cr
1.0
-1.468 1.468 8.884
1.468 -1.468 8.884
1.468 1.468 -8.884
Sc Be Cr
2 2 1
Cartesian
0.000 0.000 1.874
0.000 0.000 15.894
1.468 0.000 4.442
0.000 1.468 4.442
0.000 0.000 8.884
```

[3]
First-principles (GGA-PBE) data for TaIr3W2 after structural relaxation, as listed in Alexandria via LeMat-Bulk.

Properties
Total DFT energy (no corrections) (eV for the cell shown): -66.6
Spin magnetization (μB per cell): 0.0
DOS at the Fermi energy (states/eV per cell): 4.56
ρ (g/cm3): 20.108
ΔH_f (0 K) (eV/atom): -0.376
V (Å³/cell): 93
Symmetry: P4/mmm, No. 123

The structure in POSCAR format:
```
TaIr3W2
1.0
2.800 0.000 0.000
0.000 2.800 0.000
0.000 0.000 11.852
Ta Ir W
1 3 2
Cartesian
0.000 0.000 0.000
1.400 1.400 2.062
1.400 1.400 5.926
1.400 1.400 9.791
0.000 0.000 3.952
0.000 0.000 7.901
```